(1)
Pr9Al5S21: PBEsol geometry, meta-GGA SCAN.

Lattice parameters (Å, degrees): 11.6093 11.6093 11.6093 95.39 95.39 95.39
Fractional positions:
Pr (0.0139, 0.7998, 0.6450)
Pr (0.0252, 0.1775, 0.7973)
Pr (0.1231, 0.3494, 0.4934)
Pr (0.1294, 0.9893, 0.3630)
Pr (0.1775, 0.7973, 0.0252)
Pr (0.3200, 0.7013, 0.4705)
Pr (0.3494, 0.4934, 0.1231)
Pr (0.3630, 0.1294, 0.9893)
Pr (0.4544, 0.6818, 0.8297)
Pr (0.4705, 0.3200, 0.7013)
Pr (0.4934, 0.1231, 0.3494)
Pr (0.6450, 0.0139, 0.7998)
Pr (0.6818, 0.8297, 0.4544)
Pr (0.7013, 0.4705, 0.3200)
Pr (0.7973, 0.0252, 0.1775)
Pr (0.7998, 0.6450, 0.0139)
Pr (0.8297, 0.4544, 0.6818)
Pr (0.9893, 0.3630, 0.1294)
Al (0.1008, 0.1008, 0.1008)
Al (0.1293, 0.4732, 0.7951)
Al (0.2942, 0.9674, 0.6361)
Al (0.4155, 0.4155, 0.4155)
Al (0.4732, 0.7951, 0.1293)
Al (0.5977, 0.5977, 0.5977)
Al (0.6361, 0.2942, 0.9674)
Al (0.7951, 0.1293, 0.4732)
Al (0.9188, 0.9188, 0.9188)
Al (0.9674, 0.6361, 0.2942)
S (0.0010, 0.9104, 0.1336)
S (0.0323, 0.6058, 0.1193)
S (0.0360, 0.1862, 0.2788)
S (0.0604, 0.5474, 0.6342)
S (0.0876, 0.7577, 0.4192)
S (0.1193, 0.0323, 0.6058)
S (0.1336, 0.0010, 0.9104)
S (0.1862, 0.2788, 0.0360)
S (0.2129, 0.3169, 0.7275)
S (0.2417, 0.4783, 0.3368)
S (0.2544, 0.5883, 0.9213)
S (0.2581, 0.7903, 0.6971)
S (0.2788, 0.0360, 0.1862)
S (0.3169, 0.7275, 0.2129)
S (0.3368, 0.2417, 0.4783)
S (0.3552, 0.9423, 0.4570)
S (0.3921, 0.5262, 0.6147)
S (0.4099, 0.8789, 0.9699)
S (0.4192, 0.0876, 0.7577)
S (0.4570, 0.3552, 0.9423)
S (0.4783, 0.3368, 0.2417)
S (0.5262, 0.6147, 0.3921)
S (0.5474, 0.6342, 0.0604)
S (0.5517, 0.7934, 0.6471)
S (0.5883, 0.9213, 0.2544)
S (0.6058, 0.1193, 0.0323)
S (0.6147, 0.3921, 0.5262)
S (0.6342, 0.0604, 0.5474)
S (0.6471, 0.5517, 0.7934)
S (0.6971, 0.2581, 0.7903)
S (0.7275, 0.2129, 0.3169)
S (0.7314, 0.8662, 0.9677)
S (0.7577, 0.4192, 0.0876)
S (0.7903, 0.6971, 0.2581)
S (0.7934, 0.6471, 0.5518)
S (0.8662, 0.9677, 0.7314)
S (0.8789, 0.9699, 0.4099)
S (0.9104, 0.1336, 0.0010)
S (0.9213, 0.2544, 0.5883)
S (0.9423, 0.4570, 0.3552)
S (0.9677, 0.7314, 0.8662)
S (0.9699, 0.4099, 0.8789)

M_tot   0.00 μB/f.u.
Symmetry   No. 146
Raw formation energy   -2012.4 meV/atom
ρ   4.5 g/cm³

(2)
Pr3Al4Si6: PBEsol geometry, meta-GGA SCAN.

Lattice parameters (Å, degrees): 4.1739 4.1739 17.7962 90.00 90.00 120.00
Fractional positions:
Pr (0.0000, 0.0000, 0.0000)
Pr (0.0000, 0.0000, 0.3878)
Pr (0.0000, 0.0000, 0.6122)
Al (0.3333, 0.6667, 0.2455)
Al (0.3333, 0.6667, 0.8605)
Al (0.6667, 0.3333, 0.1395)
Al (0.6667, 0.3333, 0.7545)
Si (0.3333, 0.6667, 0.1027)
Si (0.3333, 0.6667, 0.4973)
Si (0.3333, 0.6667, 0.7182)
Si (0.6667, 0.3333, 0.2818)
Si (0.6667, 0.3333, 0.5027)
Si (0.6667, 0.3333, 0.8973)

M_tot   0.00 μB/f.u.
Symmetry   No. 164
Raw formation energy   -468.2 meV/atom
ρ   4.3 g/cm³

(3)
PrAl20V2: PBEsol geometry, meta-GGA SCAN.

Lattice parameters (Å, degrees): 10.2282 10.2282 10.2282 60.00 60.00 60.00
Fractional positions:
Pr (0.1250, 0.1250, 0.1250)
Pr (0.8750, 0.8750, 0.8750)
Al (0.0000, 0.0000, 0.0000)
Al (0.0000, 0.0000, 0.5000)
Al (0.0000, 0.5000, 0.0000)
Al (0.0564, 0.3265, 0.3265)
Al (0.0564, 0.3265, 0.7906)
Al (0.0564, 0.7906, 0.3265)
Al (0.2094, 0.6735, 0.6735)
Al (0.2094, 0.6735, 0.9436)
Al (0.2094, 0.9436, 0.6735)
Al (0.2370, 0.2370, 0.5130)
Al (0.2370, 0.5130, 0.2370)
Al (0.2370, 0.5130, 0.5130)
Al (0.3265, 0.0564, 0.3265)
Al (0.3265, 0.0564, 0.7906)
Al (0.3265, 0.3265, 0.0564)
Al (0.3265, 0.3265, 0.7906)
Al (0.3265, 0.7906, 0.0564)
Al (0.3265, 0.7906, 0.3265)
Al (0.4870, 0.4870, 0.7630)
Al (0.4870, 0.7630, 0.4870)
Al (0.4870, 0.7630, 0.7630)
Al (0.5000, 0.0000, 0.0000)
Al (0.5130, 0.2370, 0.2370)
Al (0.5130, 0.2370, 0.5130)
Al (0.5130, 0.5130, 0.2370)
Al (0.6735, 0.2094, 0.6735)
Al (0.6735, 0.2094, 0.9436)
Al (0.6735, 0.6735, 0.2094)
Al (0.6735, 0.6735, 0.9436)
Al (0.6735, 0.9436, 0.2094)
Al (0.6735, 0.9436, 0.6735)
Al (0.7630, 0.4870, 0.4870)
Al (0.7630, 0.4870, 0.7630)
Al (0.7630, 0.7630, 0.4870)
Al (0.7906, 0.0564, 0.3265)
Al (0.7906, 0.3265, 0.0564)
Al (0.7906, 0.3265, 0.3265)
Al (0.9436, 0.2094, 0.6735)
Al (0.9436, 0.6735, 0.2094)
Al (0.9436, 0.6735, 0.6735)
V (0.0000, 0.5000, 0.5000)
V (0.5000, 0.0000, 0.5000)
V (0.5000, 0.5000, 0.0000)
V (0.5000, 0.5000, 0.5000)

M_tot   0.00 μB/f.u.
ΔH_f (0 K)   -0.213 eV per atom
Symmetry   No. 227
ρ   3.4 g/cm³

(4)
PrYAl6: PBEsol geometry, meta-GGA SCAN.

Lattice parameters (Å, degrees): 6.3329 6.3329 4.6087 90.00 90.00 120.00
Fractional positions:
Pr (0.0000, 0.0000, 0.0000)
Y (0.3333, 0.6667, 0.5000)
Al (0.3799, 0.1899, 0.5000)
Al (0.5204, 0.0408, 0.0000)
Al (0.5204, 0.4796, 0.0000)
Al (0.8101, 0.1899, 0.5000)
Al (0.8101, 0.6201, 0.5000)
Al (0.9592, 0.4796, 0.0000)

M_tot   0.08 μB/f.u.
ΔH_f (0 K)   -0.460 eV per atom
Symmetry   No. 187
ρ   4.1 g/cm³

(5)
PrYAl4: PBEsol geometry, meta-GGA SCAN.

Lattice parameters (Å, degrees): 5.5931 5.5931 5.5931 60.00 60.00 60.00
Fractional positions:
Pr (0.0000, 0.0000, 0.0000)
Y (0.2500, 0.2500, 0.2500)
Al (0.1252, 0.6249, 0.6249)
Al (0.6249, 0.1252, 0.6249)
Al (0.6249, 0.6249, 0.1252)
Al (0.6249, 0.6249, 0.6249)

M_tot   0.02 μB/f.u.
ΔH_f (0 K)   -0.535 eV per atom
Symmetry   No. 216
ρ   4.5 g/cm³

(6)
AlPt: PBEsol geometry, meta-GGA SCAN.

Lattice parameters (Å, degrees): 4.8648 4.8648 4.8648 90.00 90.00 90.00
Fractional positions:
Al (0.1558, 0.3442, 0.6558)
Al (0.3442, 0.6558, 0.1558)
Al (0.6558, 0.1558, 0.3442)
Al (0.8442, 0.8442, 0.8442)
Pt (0.1542, 0.1542, 0.1542)
Pt (0.3458, 0.8458, 0.6542)
Pt (0.6542, 0.3458, 0.8458)
Pt (0.8458, 0.6542, 0.3458)

M_tot   0.00 μB/f.u.
ΔH_f (0 K)   -1.288 eV per atom
Symmetry   No. 198
ρ   12.8 g/cm³

(7)
Al2Pt: PBEsol geometry, meta-GGA SCAN.

Lattice parameters (Å, degrees): 4.3201 4.3201 2.8253 90.00 90.00 120.00
Fractional positions:
Al (0.3333, 0.6667, 0.2493)
Al (0.6667, 0.3333, 0.7507)
Pt (0.0000, 0.0000, 0.0000)

M_tot   0.00 μB/f.u.
ΔH_f (0 K)   -0.638 eV per atom
Symmetry   No. 164
ρ   9.1 g/cm³

(8)
Al5Pt: PBEsol geometry, meta-GGA SCAN.

Lattice parameters (Å, degrees): 2.8492 2.8492 11.4926 90.00 90.00 90.00
Fractional positions:
Al (0.0000, 0.0000, 0.0000)
Al (0.0000, 0.0000, 0.3489)
Al (0.0000, 0.0000, 0.6511)
Al (0.5000, 0.5000, 0.1757)
Al (0.5000, 0.5000, 0.8243)
Pt (0.5000, 0.5000, 0.5000)

M_tot   0.00 μB/f.u.
ΔH_f (0 K)   -0.385 eV per atom
Symmetry   No. 123
ρ   5.9 g/cm³

(9)
Al5Pt: PBEsol geometry, meta-GGA SCAN.

Lattice parameters (Å, degrees): 3.9307 11.8879 3.9325 90.00 90.00 90.00
Fractional positions:
Al (0.0000, 0.0000, 0.0000)
Al (0.0000, 0.1609, 0.5000)
Al (0.0000, 0.3356, 0.0000)
Al (0.0000, 0.6644, 0.0000)
Al (0.0000, 0.8391, 0.5000)
Al (0.5000, 0.1644, 0.0000)
Al (0.5000, 0.3391, 0.5000)
Al (0.5000, 0.5000, 0.0000)
Al (0.5000, 0.6609, 0.5000)
Al (0.5000, 0.8356, 0.0000)
Pt (0.0000, 0.5000, 0.5000)
Pt (0.5000, 0.0000, 0.5000)

M_tot   0.00 μB/f.u.
ΔH_f (0 K)   -0.411 eV per atom
Symmetry   No. 65
ρ   6.0 g/cm³

(10)
Al3Pt5: PBEsol geometry, meta-GGA SCAN.

Lattice parameters (Å, degrees): 5.4073 10.7489 3.9508 90.00 90.00 90.00
Fractional positions:
Al (0.0000, 0.0000, 0.0000)
Al (0.1865, 0.3604, 0.5000)
Al (0.3135, 0.8604, 0.5000)
Al (0.5000, 0.5000, 0.0000)
Al (0.6865, 0.1396, 0.5000)
Al (0.8135, 0.6396, 0.5000)
Pt (0.0000, 0.5000, 0.0000)
Pt (0.0636, 0.7662, 0.0000)
Pt (0.2089, 0.1078, 0.5000)
Pt (0.2911, 0.6078, 0.5000)
Pt (0.4364, 0.2662, 0.0000)
Pt (0.5000, 0.0000, 0.0000)
Pt (0.5636, 0.7338, 0.0000)
Pt (0.7089, 0.3922, 0.5000)
Pt (0.7911, 0.8922, 0.5000)
Pt (0.9364, 0.2338, 0.0000)

M_tot   0.00 μB/f.u.
ΔH_f (0 K)   -1.091 eV per atom
Symmetry   No. 55
ρ   15.3 g/cm³

(11)
Al2Pt: PBEsol geometry, meta-GGA SCAN.

Lattice parameters (Å, degrees): 6.0247 6.0247 5.2871 90.00 90.00 90.00
Fractional positions:
Al (0.1609, 0.3391, 0.0000)
Al (0.1609, 0.6609, 0.5000)
Al (0.3391, 0.1609, 0.5000)
Al (0.3391, 0.8391, 0.0000)
Al (0.6609, 0.1609, 0.0000)
Al (0.6609, 0.8391, 0.5000)
Al (0.8391, 0.3391, 0.5000)
Al (0.8391, 0.6609, 0.0000)
Pt (0.0000, 0.0000, 0.2500)
Pt (0.0000, 0.0000, 0.7500)
Pt (0.5000, 0.5000, 0.2500)
Pt (0.5000, 0.5000, 0.7500)

M_tot   0.00 μB/f.u.
ΔH_f (0 K)   -0.913 eV per atom
Symmetry   No. 140
ρ   8.6 g/cm³

(12)
Al2Pt: PBEsol geometry, meta-GGA SCAN.

Lattice parameters (Å, degrees): 2.9332 13.4646 4.6700 90.00 90.00 90.00
Fractional positions:
Al (0.0000, 0.0527, 0.2500)
Al (0.0000, 0.3708, 0.2500)
Al (0.0000, 0.6292, 0.7500)
Al (0.0000, 0.9473, 0.7500)
Al (0.5000, 0.1292, 0.7500)
Al (0.5000, 0.4473, 0.7500)
Al (0.5000, 0.5527, 0.2500)
Al (0.5000, 0.8708, 0.2500)
Pt (0.0000, 0.2940, 0.7500)
Pt (0.0000, 0.7060, 0.2500)
Pt (0.5000, 0.2060, 0.2500)
Pt (0.5000, 0.7940, 0.7500)

M_tot   0.00 μB/f.u.
ΔH_f (0 K)   -0.707 eV per atom
Symmetry   No. 63
ρ   9.0 g/cm³